Density functional theory data (GGA+U) for crystalline ReNiO4 at its relaxed geometry.

Cell and atoms, written as CIF:
```
data_ReNiO4
_cell_length_a 5.5525
_cell_length_b 5.5525
_cell_length_c 4.7453
_cell_angle_alpha 92.24
_cell_angle_beta 92.24
_cell_angle_gamma 63.27
_symmetry_space_group_name_H-M 'P 1'
_symmetry_Int_Tables_number 1
_symmetry_space_group_name_Hall 'P 1'
loop_
_atom_site_label
_atom_site_type_symbol
_atom_site_fract_x
_atom_site_fract_y
_atom_site_fract_z
_atom_site_occupancy
Re1 Re 0.2286 0.7714 0.0000 1
Re2 Re 0.7714 0.2286 0.0000 1
Ni1 Ni 0.2622 0.2622 0.4903 1
Ni2 Ni 0.7378 0.7378 0.5097 1
O1 O 0.1017 0.6181 0.7158 1
O2 O 0.1100 0.1100 0.7903 1
O3 O 0.3819 0.8983 0.2842 1
O4 O 0.4100 0.4100 0.1816 1
O5 O 0.5900 0.5900 0.8184 1
O6 O 0.6181 0.1017 0.7158 1
O7 O 0.8900 0.8900 0.2097 1
O8 O 0.8983 0.3819 0.2842 1
```

Summary:
M_tot (μB/atom): 0.333
Energy (eV/cell): -86.427